# 1
This record from the Alexandria database describes an optimized crystal structure of AsIBr2O. The functional is PBE-GGA.

**Mass density**: 5.572 g cm⁻³
**Polymorph energy (0 for the lowest one)**: 0.0000 eV/atom
**ΔE_f (raw)**: 0.576 eV/atom

Cell and atoms, written as CIF:
```
data_AsIBr2O
_symmetry_space_group_name_H-M 'P 1'
_symmetry_Int_Tables_number 1
_cell_length_a 4.9922
_cell_length_b 4.9922
_cell_length_c 4.5153
_cell_angle_alpha 90.00
_cell_angle_beta 90.00
_cell_angle_gamma 90.00
loop_
_symmetry_equiv_pos_as_xyz
'x,y,z'
loop_
_atom_site_label
_atom_site_fract_x
_atom_site_fract_y
_atom_site_fract_z
As1 0.0000 0.0000 0.0000
I1 0.5000 0.5000 0.0000
Br1 0.0000 0.5000 0.5000
Br2 0.5000 0.0000 0.5000
O1 0.0000 0.0000 0.5000
```

# 2
This record from the Alexandria database describes an optimized crystal structure of Zn3MoAu. The functional is PBE-GGA.

**Mass density**: 7.260 g cm⁻³
**Polymorph energy (0 for the lowest one)**: 0.0000 eV/atom
**DFT formation energy**: 0.92 eV/atom

Cell and atoms, written as CIF:
```
data_Zn3MoAu
_symmetry_space_group_name_H-M 'P 1'
_symmetry_Int_Tables_number 1
_cell_length_a 4.8186
_cell_length_b 4.8186
_cell_length_c 4.8186
_cell_angle_alpha 90.00
_cell_angle_beta 90.00
_cell_angle_gamma 90.00
loop_
_symmetry_equiv_pos_as_xyz
'x,y,z'
loop_
_atom_site_label
_atom_site_fract_x
_atom_site_fract_y
_atom_site_fract_z
Zn1 0.0000 0.0000 0.5000
Zn2 0.0000 0.5000 0.0000
Zn3 0.5000 0.0000 0.0000
Mo1 0.5000 0.5000 0.5000
Au1 0.0000 0.0000 0.0000
```

# 3
This record from the Alexandria database describes an optimized crystal structure of SnHOsRu2. The functional is PBE-GGA.

**Mass density**: 7.008 g cm⁻³
**Electronic total energy**: -0.3450 Ry/atom

Cell and atoms, written as CIF:
```
data_SnHOsRu2
_symmetry_space_group_name_H-M 'P 1'
_symmetry_Int_Tables_number 1
_cell_length_a 4.9552
_cell_length_b 4.9552
_cell_length_c 4.9414
_cell_angle_alpha 90.00
_cell_angle_beta 90.00
_cell_angle_gamma 90.00
loop_
_symmetry_equiv_pos_as_xyz
'x,y,z'
loop_
_atom_site_label
_atom_site_fract_x
_atom_site_fract_y
_atom_site_fract_z
Sn1 0.0000 0.0000 0.0000
H1 0.5000 0.5000 0.5000
Os1 0.0000 0.0000 0.5000
Ru1 0.0000 0.5000 0.0000
Ru2 0.5000 0.0000 0.0000
```

# 4
This record from the Alexandria database describes an optimized crystal structure of Zr5InTc4. The functional is PBE-GGA.

**Mass density**: 8.486 g cm⁻³
**DFT formation energy**: -0.37 eV/atom

Cell and atoms, written as CIF:
```
data_Zr5InTc4
_symmetry_space_group_name_H-M 'P 1'
_symmetry_Int_Tables_number 1
_cell_length_a 3.3341
_cell_length_b 3.3341
_cell_length_c 16.9511
_cell_angle_alpha 90.00
_cell_angle_beta 90.00
_cell_angle_gamma 90.00
loop_
_symmetry_equiv_pos_as_xyz
'x,y,z'
loop_
_atom_site_label
_atom_site_fract_x
_atom_site_fract_y
_atom_site_fract_z
Zr1 0.0000 0.0000 0.0000
Zr2 0.0000 0.0000 0.1915
Zr3 0.0000 0.0000 0.3800
Zr4 0.0000 0.0000 0.6200
Zr5 0.0000 0.0000 0.8085
In1 0.5000 0.5000 0.5000
Tc1 0.5000 0.5000 0.0971
Tc2 0.5000 0.5000 0.2926
Tc3 0.5000 0.5000 0.7074
Tc4 0.5000 0.5000 0.9029
```

# 5
This record from the Alexandria database describes an optimized crystal structure of La2SiPt2. The functional is PBE-GGA.

**Mass density**: 9.367 g cm⁻³
**ΔE_f (raw)**: -0.718 eV/atom

Cell and atoms, written as CIF:
```
data_La2SiPt2
_symmetry_space_group_name_H-M 'P 1'
_symmetry_Int_Tables_number 1
_cell_length_a 8.6805
_cell_length_b 8.6805
_cell_length_c 8.6805
_cell_angle_alpha 154.24
_cell_angle_beta 154.24
_cell_angle_gamma 36.75
loop_
_symmetry_equiv_pos_as_xyz
'x,y,z'
loop_
_atom_site_label
_atom_site_fract_x
_atom_site_fract_y
_atom_site_fract_z
La1 0.1101 0.1101 0.0000
La2 0.8899 0.8899 0.0000
Si1 0.5000 0.5000 0.0000
Pt1 0.2500 0.7500 0.5000
Pt2 0.7500 0.2500 0.5000
```

# 6
This record from the Alexandria database describes an optimized crystal structure of AcNd5Mg6. The functional is PBE-GGA.

**Mass density**: 4.997 g cm⁻³
**DFT formation energy**: -0.10 eV/atom

Cell and atoms, written as CIF:
```
data_AcNd5Mg6
_symmetry_space_group_name_H-M 'P 1'
_symmetry_Int_Tables_number 1
_cell_length_a 5.5512
_cell_length_b 7.8665
_cell_length_c 8.7745
_cell_angle_alpha 90.00
_cell_angle_beta 108.39
_cell_angle_gamma 90.00
loop_
_symmetry_equiv_pos_as_xyz
'x,y,z'
loop_
_atom_site_label
_atom_site_fract_x
_atom_site_fract_y
_atom_site_fract_z
Ac1 0.0000 0.0000 0.0000
Nd1 0.0000 0.5000 0.0000
Nd2 0.3325 0.0000 0.6661
Nd3 0.3344 0.5000 0.6699
Nd4 0.6656 0.5000 0.3301
Nd5 0.6675 0.0000 0.3339
Mg1 0.1708 0.2564 0.3404
Mg2 0.1708 0.7436 0.3404
Mg3 0.5000 0.2604 0.0000
Mg4 0.5000 0.7396 0.0000
Mg5 0.8292 0.2564 0.6596
Mg6 0.8292 0.7436 0.6596
```

# 7
This record from the Alexandria database describes an optimized crystal structure of Ho12Tm7Bi. The functional is PBE-GGA.

**Mass density**: 8.965 g cm⁻³
**DFT formation energy**: 0.14 eV/atom

Cell and atoms, written as CIF:
```
data_Ho12Tm7Bi
_symmetry_space_group_name_H-M 'P 1'
_symmetry_Int_Tables_number 1
_cell_length_a 8.5521
_cell_length_b 8.5521
_cell_length_c 8.5521
_cell_angle_alpha 87.99
_cell_angle_beta 87.99
_cell_angle_gamma 87.99
loop_
_symmetry_equiv_pos_as_xyz
'x,y,z'
loop_
_atom_site_label
_atom_site_fract_x
_atom_site_fract_y
_atom_site_fract_z
Ho1 0.9998 0.1172 0.6419
Ho2 0.0002 0.8828 0.3581
Ho3 0.1172 0.6419 0.9998
Ho4 0.2373 0.7613 0.6351
Ho5 0.2387 0.3649 0.7627
Ho6 0.3581 0.0002 0.8828
Ho7 0.3649 0.7627 0.2387
Ho8 0.6351 0.2373 0.7613
Ho9 0.6419 0.9998 0.1172
Ho10 0.7613 0.6351 0.2373
Ho11 0.7627 0.2387 0.3649
Ho12 0.8828 0.3581 0.0002
Tm1 0.0000 0.0000 0.0000
Tm2 0.1115 0.4348 0.3516
Tm3 0.3516 0.1115 0.4348
Tm4 0.4348 0.3516 0.1115
Tm5 0.5652 0.6484 0.8885
Tm6 0.6484 0.8885 0.5652
Tm7 0.8885 0.5652 0.6484
Bi1 0.5000 0.5000 0.5000
```

# 8
This record from the Alexandria database describes an optimized crystal structure of La14AlSn. The functional is PBE-GGA.

**Mass density**: 6.413 g cm⁻³
**DFT formation energy**: -0.15 eV/atom

Cell and atoms, written as CIF:
```
data_La14AlSn
_symmetry_space_group_name_H-M 'P 1'
_symmetry_Int_Tables_number 1
_cell_length_a 7.1758
_cell_length_b 7.1758
_cell_length_c 10.5112
_cell_angle_alpha 90.00
_cell_angle_beta 90.00
_cell_angle_gamma 90.00
loop_
_symmetry_equiv_pos_as_xyz
'x,y,z'
loop_
_atom_site_label
_atom_site_fract_x
_atom_site_fract_y
_atom_site_fract_z
La1 0.0000 0.0000 0.0000
La2 0.0000 0.5000 0.0000
La3 0.0000 0.5000 0.5000
La4 0.2479 0.2479 0.2623
La5 0.2479 0.2479 0.7377
La6 0.2479 0.7521 0.2623
La7 0.2479 0.7521 0.7377
La8 0.5000 0.0000 0.0000
La9 0.5000 0.0000 0.5000
La10 0.5000 0.5000 0.0000
La11 0.7521 0.2479 0.2623
La12 0.7521 0.2479 0.7377
La13 0.7521 0.7521 0.2623
La14 0.7521 0.7521 0.7377
Al1 0.0000 0.0000 0.5000
Sn1 0.5000 0.5000 0.5000
```

no.,M_tot (Bohr magnetons per cell)
1,0.00
2,4.18
3,5.00
4,0.00
5,0.00
6,0.00
7,0.00
8,0.00